No. 1
First-principles (PBE) data for a geometry-optimized Nb2GaSe structure, as listed in Alexandria via LeMat-Bulk.

It has space group Fm-3m (No. 225), with a = 6.476 Å, b = 6.476 Å, c = 6.476 Å, α = 90.00°, β = 90.00° and γ = 90.00°. Symmetry generates all atoms from Nb at (0.250, 0.250, 0.250), Ga at (0.000, 0.000, 0.000) and Se at (0.000, 0.000, 0.500).

The energy above the most stable polymorph in this dataset comes out at 0.000 eV/atom. The value obtained for the uncorrected formation energy is -0.54 eV/f.u. Its density of states at the Fermi level is 5.5 states/eV/f.u.

---

No. 2
First-principles (PBE) data for a geometry-optimized BaSn3O structure, as listed in Alexandria via LeMat-Bulk.

It has space group Pm-3m (No. 221), with a = 6.320 Å, b = 6.320 Å, c = 6.320 Å, α = 90.00°, β = 90.00° and γ = 90.00°. Symmetry generates all atoms from Ba at (0.000, 0.000, 0.000), Sn at (0.000, 0.000, 0.500) and O at (0.500, 0.500, 0.500).

The energy above the most stable polymorph in this dataset comes out at 2.006 eV/atom. The value obtained for the uncorrected formation energy is 7.55 eV/f.u. Its density of states at the Fermi level is 31.3 states/eV/f.u.

---

No. 3
First-principles (PBE) data for a geometry-optimized CsPmCl3 structure, as listed in Alexandria via LeMat-Bulk.

It has space group Immm (No. 71), with a = 8.855 Å, b = 9.366 Å, c = 11.800 Å, α = 90.00°, β = 90.00° and γ = 90.00°. Symmetry generates all atoms from Cs at (0.000, 0.226, 0.000), Pm at (0.000, 0.500, 0.365), Cl at (0.000, 0.261, 0.500) and Cl at (0.207, 0.000, 0.185).

The energy above the most stable polymorph in this dataset comes out at 0.172 eV/atom. The value obtained for the uncorrected formation energy is -8.83 eV/f.u.